# 1
ZrTeCl3 at its PBEsol-relaxed geometry. Source: the Alexandria database, functional SCAN.

Size of the total moment ... 0.37 μB per atom
ΔE to the lowest computed polymorph ... 0.000 eV/f.u.
Raw formation energy ... -457 kJ/mol of formula units
Volume ... 125.7 Å³ per cell

Geometry as POSCAR:
```
ZrTeCl3
1.0
-3.289 -2.047 -3.177
-2.091 -2.522 3.790
-3.148 3.814 0.801
Te Zr Cl
1 1 3
Cartesian
-4.264 -0.378 0.707
0.000 0.000 0.000
-1.045 -1.261 1.895
-1.574 1.907 0.401
-1.644 -1.024 -1.588
```

=====

# 2
ZrTe2Cl12 at its PBEsol-relaxed geometry. Source: the Alexandria database, functional SCAN.

Size of the total moment ... 0.00 μB per atom
Raw formation energy ... -1622 kJ/mol of formula units
Volume ... 2692.6 Å³ per cell

Geometry as POSCAR:
```
ZrTe2Cl12
1.0
-0.063 1.905 11.181
-9.771 2.197 5.324
-6.406 -22.260 9.510
Zr Te Cl
6 12 72
Cartesian
-9.302 -18.008 14.522
-5.224 -13.331 7.995
-6.938 -0.150 11.492
-12.180 -13.619 19.511
-11.016 -4.827 18.020
-4.060 -4.540 6.504
-4.758 -6.223 14.561
-8.741 -11.348 17.049
-12.793 -17.877 12.459
-6.959 -0.844 7.495
-11.481 -11.935 11.453
-3.446 -0.281 13.556
-9.281 -17.314 18.520
-5.289 -12.662 11.997
-5.824 -18.779 12.579
-10.950 -5.496 14.018
-10.415 0.621 13.436
-7.498 -6.810 8.966
-13.815 -18.827 14.345
-9.900 -13.616 11.853
-13.063 -11.823 20.947
-13.876 -17.472 22.149
-10.443 -18.970 16.483
-9.747 -5.173 8.328
-2.425 0.669 11.670
-5.796 0.812 9.532
-7.041 -11.704 7.647
-8.756 1.498 11.263
-5.712 1.386 12.980
-4.839 -2.747 8.002
-11.401 -15.411 18.013
-8.732 -7.753 10.724
-13.185 -12.797 13.573
-3.054 -5.361 12.441
-3.979 -12.372 6.097
-9.247 -7.058 14.419
-9.992 -12.493 19.393
-6.469 -13.757 13.699
-10.468 -9.765 16.882
-5.772 -8.393 9.132
-8.118 -15.715 19.777
-14.591 -15.483 16.095
-5.761 -7.746 13.085
-13.870 -18.128 18.288
-6.992 -11.100 11.596
-9.727 -12.986 15.696
-2.370 -0.030 7.726
-11.111 -16.359 14.192
-7.507 -10.405 15.291
-3.301 -5.733 8.520
-8.122 -2.443 6.238
-8.163 -1.130 13.400
-10.442 -11.011 9.561
-10.527 -19.544 13.035
-11.315 -14.836 21.470
-5.729 0.074 5.717
-10.479 -10.412 12.930
-4.102 -11.772 9.539
-9.198 -6.454 18.368
-6.340 -4.542 14.162
-7.040 -20.254 11.219
-1.648 -2.675 9.920
-5.129 -1.799 11.823
-8.076 -17.028 12.614
-4.077 -11.205 13.383
-4.924 -3.322 4.545
-6.383 -14.313 9.943
-6.512 -5.172 10.318
-9.199 2.096 14.796
-9.770 -4.401 12.315
-2.363 -0.686 3.866
-14.439 -14.256 23.442
-12.939 -12.425 17.495
-10.510 -18.232 20.298
-1.801 -3.902 2.573
-7.576 -18.917 18.677
-3.177 -6.335 5.068
-6.493 -12.985 17.687
-9.856 -3.845 16.072
-12.162 -6.953 12.631
-6.247 -5.665 6.621
-7.483 -19.656 14.752
-8.078 -1.724 9.968
-8.663 0.759 7.338
-5.798 -7.147 16.454
-12.138 -6.386 16.476
-1.872 -3.434 6.266
-8.162 -16.434 16.047
-12.260 -5.786 19.918
-14.367 -14.724 19.749
```